The following is a DFT calculation (PBE with a Hubbard U) of MnCuF2 after structural relaxation.

Calculated values
For the energy relative to the lowest polymorph listed for this composition, the calculation gives 1.617 eV per formula unit. The electronic total energy comes out at -19.54 eV per cell. Its space group is Fm-3m (225). The theoretical density is 5.3 g/cm³.

The structure in extended XYZ format:
```
4
Lattice="-2.6769 -3.1277 0.1354 -0.9480 -1.7447 3.6088 -3.7378 0.5577 1.6384" Properties=species:S:1:pos:R:3 pbc="T T T"
Mn 0.0000 0.0000 0.0000
Cu -3.6813 -2.1573 2.6913
F -1.8407 -1.0787 1.3457
F -5.5220 -3.2360 4.0370
```